Computed, not measured: crystalline Sc2HgRh at its relaxed geometry at the PBEsol level of DFT.

```
data_Sc2HgRh
_chemical_formula_sum 'Sc6 Hg3 Rh3'
_cell_length_a 3.4944
_cell_length_b 3.4944
_cell_length_c 26.9842
_cell_angle_alpha 90.00
_cell_angle_beta 90.00
_cell_angle_gamma 120.00
_symmetry_space_group_name_H-M 'R -3 m'
_symmetry_Int_Tables_number 166
_symmetry_space_group_name_Hall '-R 3 2"'
loop_
_atom_site_label
_atom_site_fract_x
_atom_site_fract_y
_atom_site_fract_z
_atom_site_occupancy
Sc1 0.0000 0.0000 0.1089 1
Hg1 0.0000 0.0000 0.0000 1
Rh1 0.0000 0.0000 0.5000 1
```

Output
Calculated density ... 6.87 g cm⁻³
Energy ... -5.699 eV/atom
DFT formation energy ... -21.3 kJ per mole of atoms
Magnetic moment ... 0.00 μB per cell